PrSm3Pb | PBE | optimized geometry

Lattice parameters (Å, degrees): 8.890 8.947 9.895 121.50 90.00 90.00
Fractional positions:
Sm: 0.591 0.910 0.200
Sm: 0.935 0.738 0.958
Pb: 0.744 0.099 0.039
Pb: 0.756 0.099 0.539
Sm: 0.091 0.090 0.300
Sm: 0.304 0.593 0.055
Pr: 0.433 0.305 0.210
Sm: 0.909 0.910 0.700
Sm: 0.196 0.593 0.555
Pb: 0.244 0.901 0.461
Sm: 0.804 0.407 0.445
Sm: 0.435 0.262 0.542
Sm: 0.065 0.262 0.042
Sm: 0.565 0.738 0.458
Pr: 0.567 0.695 0.790
Pr: 0.933 0.695 0.290
Pb: 0.256 0.901 0.961
Sm: 0.409 0.090 0.800
Sm: 0.696 0.407 0.945
Pr: 0.067 0.305 0.710

Computed properties:
DFT formation energy (meV per atom): -161
Raw total energy (eV/atom): -4.6898
Density of states at the Fermi level (states/eV/cell): 21.66
Size of the total moment (μB per formula unit): 0.00